# 1
Here is an optimized crystal structure of LiUHgI6 from Alexandria. Energies are from PBE.

The value obtained for the spin magnetization is 0.11 μB per atom. The total energy comes out at -59.2 eV per cell.

The structure belongs to space group P-31c (No. 163); the cell edges are 7.4991, 7.4991 and 18.8102 Å and the angles 90.00°, 90.00° and 120.00°. The inequivalent atoms are Li at (0.3333, 0.6667, 0.2500), U at (0.3333, 0.6667, 0.7500), Hg at (0.0000, 0.0000, 0.0000) and I at (0.0087, 0.3535, 0.6592).

---

# 2
Here is an optimized crystal structure of Sc2CoCl from Alexandria. Energies are from PBE.

The value obtained for the spin magnetization is 0.01 μB per atom. The total energy comes out at -80.8 eV per cell. The energy above the most stable polymorph in this dataset comes out at 1.1387 eV per atom.

The structure belongs to space group F-43m (No. 216); the cell edges are 6.5709, 6.5709 and 6.5709 Å and the angles 90.00°, 90.00° and 90.00°. The inequivalent atoms are Sc at (0.0000, 0.0000, 0.0000), Sc at (0.2500, 0.2500, 0.2500), Co at (0.0000, 0.0000, 0.5000) and Cl at (0.2500, 0.2500, 0.7500).

---

# 3
Here is an optimized crystal structure of Tm4Ga16Ni3 from Alexandria. Energies are from PBE.

The value obtained for the spin magnetization is 0.00 μB per atom. The formation energy is -47.8 kJ per mole of atoms. The total energy comes out at -95.0 eV per cell.

The structure belongs to space group P4/mmm (No. 123); the cell edges are 6.0712, 6.0712 and 10.9018 Å and the angles 90.00°, 90.00° and 90.00°. The inequivalent atoms are Tm at (0.0000, 0.5000, 0.1923), Ga at (0.0000, 0.0000, 0.1998), Ga at (0.2182, 0.2182, 0.0000), Ga at (0.2457, 0.2457, 0.3800), Ga at (0.5000, 0.5000, 0.2249), Ni at (0.0000, 0.5000, 0.5000) and Ni at (0.5000, 0.5000, 0.0000).

---

# 4
Here is an optimized crystal structure of PmHo2Ir from Alexandria. Energies are from PBE.

The value obtained for the spin magnetization is 0.00 μB per atom. The formation energy is -41.8 kJ per mole of atoms. The total energy comes out at -24.5 eV per cell. The energy above the most stable polymorph in this dataset comes out at 0.1240 eV per atom.

The structure belongs to space group P4/mmm (No. 123); the cell edges are 3.4750, 3.4750 and 8.8688 Å and the angles 90.00°, 90.00° and 90.00°. The inequivalent atoms are Pm at (0.0000, 0.0000, 0.0000), Ho at (0.5000, 0.5000, 0.3170) and Ir at (0.0000, 0.0000, 0.5000).

---

# 5
Here is an optimized crystal structure of NpHSeI from Alexandria. Energies are from PBE.

The value obtained for the spin magnetization is 0.75 μB per atom. The total energy comes out at -48.7 eV per cell.

The structure belongs to space group Cm (No. 8); the cell edges are 6.7743, 3.9112 and 7.7861 Å and the angles 90.00°, 106.93° and 90.00°. The inequivalent atoms are Np at (0.0000, 0.0000, 0.0000), H at (0.3269, 0.0000, 0.9808), Se at (0.2424, 0.5000, 0.2263) and I at (0.0672, 0.5000, 0.7028).

---

# 6
Here is an optimized crystal structure of LaCrI2 from Alexandria. Energies are from PBE.

The value obtained for the spin magnetization is 0.00 μB per atom. The total energy comes out at -65.1 eV per cell. The energy above the most stable polymorph in this dataset comes out at 0.4053 eV per atom.

The structure belongs to space group Fm-3m (No. 225); the cell edges are 7.4840, 7.4840 and 7.4840 Å and the angles 90.00°, 90.00° and 90.00°. The inequivalent atoms are La at (0.0000, 0.0000, 0.0000), Cr at (0.0000, 0.0000, 0.5000) and I at (0.2500, 0.2500, 0.2500).

---

Which formula does entry 1 have?
LiUHgI6